The following is a PBE calculation of crystalline HoTm2Rh3 at its relaxed geometry, from Alexandria.

Structure (POSCAR):
```
HoTm2Rh3
1.0
4.795 0.000 0.000
-2.397 4.152 0.000
0.000 0.000 11.717
Ho Tm Rh
2 4 6
Direct
0.333 0.667 0.167 Ho
0.667 0.333 0.833 Ho
0.000 0.000 0.000 Tm
0.000 0.000 0.500 Tm
0.333 0.667 0.666 Tm
0.667 0.333 0.334 Tm
0.000 0.000 0.251 Rh
0.000 0.000 0.749 Rh
0.333 0.667 0.418 Rh
0.333 0.667 0.917 Rh
0.667 0.333 0.083 Rh
0.667 0.333 0.582 Rh
```

* E_form: -0.95 eV/atom
* DOS at the Fermi energy: 7.461 states/eV/cell